(1)
Crystalline Rb2ZrAsBr6 at its relaxed geometry, computed with PBE.

Lattice parameters (Å, degrees): 7.7385 7.7385 12.8561 90.00 90.00 90.00
Space group I4/mmm (No. 139)
Asymmetric unit:
Rb 0.0000 0.5000 0.2500 x4
Zr 0.0000 0.0000 0.0000 x2
As 0.0000 0.0000 0.5000 x2
Br 0.0000 0.0000 0.2096 x4
Br 0.2441 0.2441 0.0000 x8

Properties
Formation energy from raw total energies   -1.054 eV/atom
Calculated volume   38.5 Å³ per atom



(2)
Crystalline ZnCd2Ni at its relaxed geometry, computed with PBE.

Lattice parameters (Å, degrees): 4.0252 4.0252 8.2498 90.00 90.00 90.00
Space group I4/mmm (No. 139)
Asymmetric unit:
Zn 0.0000 0.0000 0.0000 x2
Cd 0.0000 0.5000 0.2500 x4
Ni 0.0000 0.0000 0.5000 x2

Properties
Formation energy from the elements   0.063 eV per atom
Calculated volume   16.7 Å³ per atom



(3)
Crystalline ZnCu14Si at its relaxed geometry, computed with PBE.

Lattice parameters (Å, degrees): 8.3412 5.3908 8.6153 90.00 90.00 90.00
Space group Amm2 (No. 38)
Asymmetric unit:
Zn 0.0000 0.0000 0.0000 x2
Cu 0.0000 0.2477 0.7494 x4
Cu 0.2495 0.0000 0.3154 x4
Cu 0.2496 0.2476 0.5652 x8
Cu 0.2553 0.0000 0.8160 x4
Cu 0.5000 0.0000 0.1346 x2
Cu 0.5000 0.0000 0.6347 x2
Cu 0.5000 0.2477 0.3851 x4
Si 0.0000 0.0000 0.5003 x2

Properties
Formation energy from raw total energies   -0.009 eV/atom
Calculated volume   12.1 Å³ per atom



(4)
Crystalline AcY2UN4 at its relaxed geometry, computed with PBE.

Lattice parameters (Å, degrees): 3.5735 12.4328 12.4326 90.00 90.00 90.00
Space group Cmcm (No. 63)
Asymmetric unit:
Ac 0.0000 0.1653 0.2500 x4
Y 0.0000 0.3698 0.0170 x8
U 0.0000 0.1014 0.7500 x4
N 0.0000 0.0000 0.0000 x4
N 0.0000 0.2333 0.6179 x8
N 0.0000 0.5000 0.2500 x4

Properties
Formation energy from raw total energies   -1.129 eV/atom
Calculated volume   17.3 Å³ per atom



(5)
Crystalline Pr4In2O at its relaxed geometry, computed with PBE.

Lattice parameters (Å, degrees): 4.8867 4.8867 17.0357 90.00 90.00 90.00
Space group I4/mmm (No. 139)
Asymmetric unit:
Pr 0.0000 0.0000 0.1718 x4
Pr 0.0000 0.5000 0.0000 x4
In 0.0000 0.0000 0.3619 x4
O 0.0000 0.0000 0.0000 x2

Properties
Formation energy from raw total energies   -1.035 eV/atom
Calculated volume   29.1 Å³ per atom



(6)
Crystalline Mg2Tc at its relaxed geometry, computed with PBE.

Lattice parameters (Å, degrees): 2.7342 4.3769 8.5613 90.00 90.00 90.00
Space group Immm (No. 71)
Asymmetric unit:
Mg 0.0000 0.0000 0.1637 x4
Tc 0.0000 0.0000 0.5000 x2

Properties
Formation energy from the elements   0.252 eV per atom
Calculated volume   17.1 Å³ per atom



How do the records compare in uncorrected energy? In the order shown, they have -71.42, -17.27, -128.36, -282.64, -73.60, -25.60 eV per cell.